The following is a DFT calculation (PBE with a Hubbard U) of crystalline FeCuF at its relaxed geometry.

Cell: 2.9059 2.9059 16.2210 Å, 90.00 90.00 120.00°
With the nearest neighbours (Å) after each atom.
Space group R3m (No. 160, hexagonal axes)
Inequivalent atoms, fractional coordinates:
Fe (0.0000, 0.0000, 0.0000) [3 per cell]  3 F 2.17
Cu (0.0000, 0.0000, 0.4506) [3 per cell]  1 F 2.13
F (0.0000, 0.0000, 0.5817) [3 per cell]  1 Cu 2.13, 3 Fe 2.17

Summary:
Calculated volume: 118.62 Å³/cell
Offset from the most stable computed form: 0.54 eV per formula unit